#w
Material: SrCu2Mo2
Method: DFT, PBE-GGA
State: optimized geometry

Output
M_tot in μB/f.u.: 0.0
Calculated volume in A^3/atom: 18.73
Density in g/cm³: 7.21

Lattice parameters (Å, degrees): 3.8314 3.8314 12.7595 90.00 90.00 90.00
Last column: nearest neighbours and their distance in Å.
Space group I4/mmm (No. 139)
Unique sites:
Sr 0.0000 0.0000 0.0000 x2  8 Cu 3.02
Cu 0.0000 0.0000 0.3949 x4  4 Mo 2.66, 1 Cu 2.68
Mo 0.0000 0.5000 0.2500 x4  4 Cu 2.66, 4 Mo 2.71



#x
Material: SrCu2Mo2
Method: DFT, PBE-GGA
State: optimized geometry

Output
M_tot in μB/f.u.: 0.0
Calculated volume in A^3/atom: 17.81
Density in g/cm³: 7.58

Lattice parameters (Å, degrees): 8.1880 8.1880 2.6563 90.00 90.00 90.00
Last column: nearest neighbours and their distance in Å.
Space group P4/mbm (No. 127)
Unique sites:
Sr 0.0000 0.0000 0.0000 x2  2 Sr 2.66
Cu 0.1829 0.3171 0.0000 x4  2 Cu 2.66, 6 Mo 2.76-2.80
Mo 0.1083 0.6083 0.5000 x4  3 Mo 2.51-2.66, 6 Cu 2.76-2.80



Of them, #x has the lowest stability.



#w
Material: TaCuMo
Method: DFT, PBE-GGA
State: optimized geometry

Output
M_tot in μB/f.u.: 0.0
Calculated volume in A^3/atom: 15.46
Density in g/cm³: 12.19

Lattice parameters (Å, degrees): 2.7086 2.7086 12.6452 90.00 90.00 90.00
Last column: nearest neighbours and their distance in Å.
Space group I4mm (No. 107)
Unique sites:
Ta 0.0000 0.0000 0.0000 x2  4 Ta 2.71, 4 Cu 2.78, 4 Mo 3.03
Cu 0.0000 0.0000 0.3402 x2  4 Cu 2.71, 4 Mo 2.74, 4 Ta 2.78
Mo 0.0000 0.0000 0.6856 x2  4 Mo 2.71, 4 Cu 2.74, 4 Ta 3.03



#x
Material: TaCuMo
Method: DFT, PBE-GGA
State: optimized geometry

Output
M_tot in μB/f.u.: 0.0
Calculated volume in A^3/atom: 15.49
Density in g/cm³: 12.16

Lattice parameters (Å, degrees): 3.3572 4.2735 12.9562 90.00 90.00 90.00
Last column: nearest neighbours and their distance in Å.
Space group Fmm2 (No. 42)
Unique sites:
Ta 0.0000 0.0000 0.0000 x4  4 Cu 2.71-3.01, 4 Ta 2.72, 2 Mo 2.85
Cu 0.0000 0.0000 0.3360 x4  4 Mo 2.65-2.97, 2 Ta 2.71, 4 Cu 2.72
Mo 0.0000 0.0000 0.6774 x4  4 Cu 2.65-2.97, 4 Mo 2.72, 2 Ta 2.85



#y
Material: TaCuMo
Method: DFT, PBE-GGA
State: optimized geometry

Output
M_tot in μB/f.u.: 0.0
Calculated volume in A^3/atom: 17.16
Density in g/cm³: 10.98

Lattice parameters (Å, degrees): 5.9056 5.9056 5.9056 90.00 90.00 90.00
Last column: nearest neighbours and their distance in Å.
Space group F-43m (No. 216)
Unique sites:
Ta 0.0000 0.0000 0.0000 x4  4 Cu 2.56
Cu 0.2500 0.2500 0.7500 x4  4 Ta 2.56, 4 Mo 2.56
Mo 0.0000 0.0000 0.5000 x4  4 Cu 2.56



Of them, #y has the lowest stability.



#w
Material: TaCuMo
Method: DFT, PBE-GGA
State: optimized geometry

Output
M_tot in μB/f.u.: 0.0
Calculated volume in A^3/atom: 15.65
Density in g/cm³: 12.04

Lattice parameters (Å, degrees): 2.8344 3.6974 8.9620 90.00 90.00 90.00
Last column: nearest neighbours and their distance in Å.
Space group Imm2 (No. 44)
Unique sites:
Ta 0.0000 0.0000 0.0000 x2  5 Cu 2.77-2.98, 5 Mo 2.81-2.90, 2 Ta 2.83
Cu 0.0000 0.0000 0.6674 x2  4 Mo 2.72, 5 Ta 2.77-2.98, 2 Cu 2.83
Mo 0.0000 0.0000 0.3238 x2  4 Cu 2.72, 5 Ta 2.81-2.90, 2 Mo 2.83



#x
Material: TaCuMo
Method: DFT, PBE-GGA
State: optimized geometry

Output
M_tot in μB/f.u.: 0.0
Calculated volume in A^3/atom: 15.68
Density in g/cm³: 12.02

Lattice parameters (Å, degrees): 4.5907 4.5907 2.5769 90.00 90.00 120.00
Last column: nearest neighbours and their distance in Å.
Space group P3m1 (No. 156)
Unique sites:
Ta 0.0000 0.0000 0.0000 x1  2 Ta 2.58, 3 Cu 2.76, 3 Mo 2.82
Cu 0.6667 0.3333 0.2948 x1  2 Cu 2.58, 3 Ta 2.76, 3 Mo 2.79
Mo 0.3333 0.6667 0.6318 x1  2 Mo 2.58, 3 Cu 2.79, 3 Ta 2.82



#y
Material: TaCuMo
Method: DFT, PBE-GGA
State: optimized geometry

Output
M_tot in μB/f.u.: 0.0
Calculated volume in A^3/atom: 16.81
Density in g/cm³: 11.21

Lattice parameters (Å, degrees): 5.7375 7.9304 8.8649 90.00 90.00 90.00
Last column: nearest neighbours and their distance in Å.
Space group Fmmm (No. 69)
Unique sites:
Ta 0.2500 0.2500 0.2500 x8  4 Cu 2.66, 4 Mo 2.71, 2 Ta 2.87
Cu 0.0000 0.0000 0.1319 x8  1 Cu 2.34
Mo 0.0000 0.1734 0.5000 x8  4 Ta 2.71, 1 Mo 2.75, 2 Cu 2.84



Of them, #y has the lowest stability.